[1]
Li2TlPt | GGA-PBE | relaxed

Geometry as POSCAR:
```
Li2TlPt
1.0
4.737 -1.497 0.000
4.737 1.497 0.000
-0.865 0.000 4.788
Li Tl Pt
2 1 1
Direct
0.000 0.000 0.000 Li
0.235 0.235 0.744 Li
0.481 0.481 0.484 Tl
0.729 0.729 0.213 Pt
```

The formation energy from the elements is -333 meV per atom. As for the total DFT energy (no corrections): -13.57 eV/cell. The calculation puts the total magnetization at 0.0000 μB per atom.

=====

[2]
ReNi2Br | GGA-PBE | relaxed

Geometry as POSCAR:
```
ReNi2Br
1.0
1.442 0.833 8.000
-1.442 0.833 8.000
0.000 -1.666 8.000
Re Ni Br
1 2 1
Direct
0.000 0.000 0.000 Re
0.255 0.255 0.255 Ni
0.508 0.508 0.508 Ni
0.759 0.759 0.759 Br
```

The calculation puts the energy relative to the elements, uncorrected at 0.694 eV/atom. For the offset from the most stable computed form, the calculation gives 0.2946 eV per atom. As for the total DFT energy (no corrections): -22.91 eV/cell. The calculation puts the total magnetization at 0.0000 μB per atom.